The following is a DFT calculation (GGA-PBE) of crystalline LaTaNO at its relaxed geometry.

Cell lengths 4.1789, 4.1789, 8.3992 Å; angles 90.00, 90.00, 90.00 degrees
Last column: nearest neighbours and their distance in Å.
Fractional positions:
La: 0.5000 0.0000 0.8601  4 O 2.40
Ta: 0.0000 0.0000 0.5000  4 N 2.10
N: 0.0000 0.5000 0.4816  4 Ta 2.10
N: 0.5000 0.0000 0.5184  4 Ta 2.10
O: 0.0000 0.0000 0.0000  4 La 2.40
O: 0.5000 0.5000 0.0000  4 La 2.40
La: 0.0000 0.5000 0.1399  4 O 2.40
Ta: 0.5000 0.5000 0.5000  4 N 2.10

E above lowest polymorph (kJ per mole of atoms): 0.0
Space group: No. 129